The following is a DFT calculation (PBE) of a relaxed Pm2AlMoN5 crystal.

Its total magnetization is 0.00 Bohr magnetons per cell. The density comes out at 7.11 g/cm3. Its total energy is -148.3 eV for the cell shown. The energy relative to the elements, uncorrected is -940 meV/atom.

Lattice parameters (Å, degrees): 3.229 7.001 10.253 90.00 90.00 103.33
Fractional positions:
Pm 0.870 0.741 0.785
Pm 0.110 0.220 0.704
Pm 0.130 0.259 0.285
Pm 0.890 0.780 0.204
Al 0.519 0.038 0.975
Al 0.481 0.962 0.475
Mo 0.776 0.553 0.505
Mo 0.224 0.447 0.005
N 0.364 0.727 0.002
N 0.700 0.400 0.875
N 0.500 0.000 0.793
N 0.282 0.564 0.637
N 0.943 0.886 0.548
N 0.636 0.273 0.502
N 0.300 0.600 0.375
N 0.500 0.000 0.293
N 0.718 0.436 0.137
N 0.057 0.114 0.048